#1
{"formula": "Ca2Ti3O8", "functional": "GGA-PBEsol", "state": "optimized geometry", "lattice_angstrom": [[-1.963, 0.367, -4.624], [4.998, -2.511, -2.321], [-3.866, -3.598, 3.467]], "species": ["Ti", "Ca", "Ti", "Ti", "Ca", "O", "O", "O", "O", "O", "O", "O", "O"], "frac_coords": [[0.000, 0.734, 0.000], [0.339, 0.274, 0.548], [0.000, 0.266, 0.000], [0.500, 0.000, 0.000], [0.661, 0.726, 0.452], [0.394, 0.325, 0.209], [0.606, 0.116, 0.791], [0.049, 0.396, 0.792], [0.606, 0.675, 0.791], [0.394, 0.884, 0.209], [0.906, 0.100, 0.200], [0.094, 0.900, 0.800], [0.951, 0.604, 0.208]], "space_group": "C2/m, No. 12"}

---

#2
{"formula": "Ca2Ti3O8", "functional": "GGA-PBEsol", "state": "optimized geometry", "lattice_angstrom": [[6.025, 0.000, 0.000], [-3.013, 5.218, 0.000], [0.000, 0.000, 10.453]], "species": ["O", "Ti", "Ti", "Ti", "O", "Ca", "O", "O", "Ti", "O", "Ca", "O", "O", "O", "Ti", "O", "O", "O", "Ca", "Ti", "O", "O", "O", "Ca", "O", "O"], "frac_coords": [[0.477, 0.523, 0.150], [0.163, 0.837, 0.255], [0.837, 0.163, 0.755], [0.163, 0.326, 0.255], [0.954, 0.477, 0.650], [0.333, 0.667, 0.570], [0.667, 0.333, 0.855], [0.000, 0.000, 0.655], [0.674, 0.837, 0.255], [0.046, 0.523, 0.150], [0.667, 0.333, 0.070], [0.000, 0.000, 0.155], [0.156, 0.844, 0.845], [0.312, 0.156, 0.345], [0.326, 0.163, 0.755], [0.333, 0.667, 0.355], [0.844, 0.156, 0.345], [0.523, 0.477, 0.650], [0.333, 0.667, 0.976], [0.837, 0.674, 0.755], [0.156, 0.312, 0.845], [0.844, 0.688, 0.345], [0.477, 0.954, 0.150], [0.667, 0.333, 0.476], [0.523, 0.046, 0.650], [0.688, 0.844, 0.845]], "space_group": "P6_3mc, No. 186"}

---

#1 wins, 100 meV per atom ahead of the next structure.

---

#1
{"formula": "CaTi2O5", "functional": "GGA-PBEsol", "state": "optimized geometry", "lattice_angstrom": [[3.595, 0.000, 0.000], [0.000, 4.891, 0.000], [0.000, 0.000, 11.576]], "species": ["O", "Ti", "O", "Ti", "O", "Ca", "Ti", "O", "O", "O", "O", "Ca", "O", "O", "Ti", "O"], "frac_coords": [[0.000, 0.533, 0.326], [0.000, 0.607, 0.848], [0.000, 0.951, 0.122], [0.500, 0.393, 0.652], [0.500, 0.467, 0.826], [0.500, 0.138, 0.000], [0.500, 0.393, 0.348], [0.000, 0.951, 0.878], [0.500, 0.049, 0.378], [0.500, 0.467, 0.174], [0.500, 0.049, 0.622], [0.000, 0.862, 0.500], [0.000, 0.533, 0.674], [0.500, 0.539, 0.500], [0.000, 0.607, 0.152], [0.000, 0.461, 0.000]], "space_group": "Pmmn, No. 59"}

---

#2
{"formula": "CaTi2O5", "functional": "GGA-PBEsol", "state": "optimized geometry", "lattice_angstrom": [[-1.903, 1.117, 3.051], [3.055, -4.762, 1.325], [8.806, 6.514, 3.110]], "species": ["Ti", "O", "O", "O", "O", "O", "O", "Ti", "O", "Ca", "O", "Ti", "Ca", "O", "O", "Ti"], "frac_coords": [[0.793, 0.587, 0.597], [0.762, 0.524, 0.424], [0.238, 0.476, 0.576], [0.945, 0.889, 0.880], [0.762, 0.524, 0.076], [0.238, 0.476, 0.924], [0.288, 0.576, 0.250], [0.207, 0.413, 0.097], [0.945, 0.889, 0.620], [0.095, 0.191, 0.750], [0.055, 0.111, 0.120], [0.207, 0.413, 0.403], [0.905, 0.809, 0.250], [0.712, 0.424, 0.750], [0.055, 0.111, 0.380], [0.793, 0.587, 0.903]], "space_group": "Cmcm, No. 63"}

---

#1 wins, 73 meV per atom ahead of the next structure.

---

#1
{"formula": "CaV4O10", "functional": "GGA-PBEsol", "state": "optimized geometry", "lattice_angstrom": [[3.641, 0.000, 0.000], [-1.820, 5.490, 0.000], [0.000, 0.000, 11.211]], "species": ["V", "V", "O", "O", "O", "O", "O", "O", "O", "O", "O", "Ca", "V", "V", "O"], "frac_coords": [[0.792, 0.585, 0.149], [0.202, 0.405, 0.654], [0.245, 0.490, 0.183], [0.282, 0.564, 0.500], [0.756, 0.511, 0.671], [0.740, 0.480, 0.000], [0.245, 0.490, 0.817], [0.936, 0.872, 0.140], [0.056, 0.112, 0.369], [0.756, 0.511, 0.329], [0.936, 0.872, 0.860], [0.898, 0.796, 0.500], [0.792, 0.585, 0.851], [0.202, 0.405, 0.346], [0.056, 0.112, 0.631]], "space_group": "Amm2, No. 38"}

---

#2
{"formula": "CaV4O10", "functional": "GGA-PBEsol", "state": "optimized geometry", "lattice_angstrom": [[-3.181, -1.445, 0.896], [1.456, -0.533, 4.313], [-3.939, 10.281, 2.599]], "species": ["O", "O", "Ca", "O", "O", "V", "V", "O", "O", "V", "V", "O", "O", "O", "O"], "frac_coords": [[0.500, 0.026, 0.627], [0.000, 0.964, 0.841], [0.000, 0.844, 0.500], [0.500, 0.497, 0.185], [0.500, 0.026, 0.373], [0.000, 0.616, 0.848], [0.000, 0.616, 0.152], [0.000, 0.497, 0.670], [0.500, 0.497, 0.815], [0.500, 0.381, 0.346], [0.500, 0.381, 0.654], [0.000, 0.497, 0.330], [0.500, 0.512, 0.500], [0.000, 0.533, 0.000], [0.000, 0.964, 0.159]], "space_group": "Pmm2, No. 25"}

---

#2 wins, 51 meV per atom ahead of the next structure.

---

#1
{"formula": "Ca2V3O8", "functional": "GGA-PBEsol", "state": "optimized geometry", "lattice_angstrom": [[-4.542, -3.584, 0.361], [5.383, -2.076, 0.564], [-0.463, 1.643, 10.480]], "species": ["O", "O", "O", "O", "O", "V", "Ca", "Ca", "V", "O", "Ca", "O", "O", "V", "O", "O", "V", "O", "O", "O", "O", "V", "O", "Ca", "O", "V"], "frac_coords": [[0.482, 0.964, 0.344], [0.000, 0.000, 0.858], [0.964, 0.482, 0.844], [0.333, 0.667, 0.154], [0.156, 0.311, 0.649], [0.688, 0.841, 0.247], [0.667, 0.333, 0.015], [0.667, 0.333, 0.446], [0.841, 0.153, 0.747], [0.518, 0.036, 0.844], [0.333, 0.667, 0.946], [0.518, 0.482, 0.844], [0.844, 0.689, 0.149], [0.159, 0.847, 0.247], [0.482, 0.518, 0.344], [0.156, 0.844, 0.649], [0.847, 0.688, 0.747], [0.000, 0.000, 0.358], [0.036, 0.518, 0.344], [0.667, 0.333, 0.654], [0.311, 0.156, 0.149], [0.153, 0.312, 0.247], [0.844, 0.156, 0.149], [0.333, 0.667, 0.515], [0.689, 0.844, 0.649], [0.312, 0.159, 0.747]], "space_group": "P6_3, No. 173"}

---

#2
{"formula": "Ca2V3O8", "functional": "GGA-PBEsol", "state": "optimized geometry", "lattice_angstrom": [[4.925, 0.000, 0.027], [0.000, 5.898, 0.000], [-1.983, -2.949, 5.207]], "species": ["O", "O", "O", "O", "Ca", "O", "V", "O", "V", "O", "V", "Ca", "O"], "frac_coords": [[0.393, 0.325, 0.205], [0.956, 0.608, 0.217], [0.607, 0.675, 0.795], [0.096, 0.904, 0.808], [0.668, 0.731, 0.461], [0.044, 0.392, 0.783], [0.500, 0.000, 0.000], [0.904, 0.096, 0.192], [0.000, 0.726, 0.000], [0.393, 0.880, 0.205], [0.000, 0.274, 0.000], [0.332, 0.269, 0.539], [0.607, 0.120, 0.795]], "space_group": "C2/m, No. 12"}

---

#2 wins, 95 meV per atom ahead of the next structure.

---

#1
{"formula": "CaReOs2", "functional": "GGA-PBEsol", "state": "optimized geometry", "lattice_angstrom": [[4.456, 0.000, 0.000], [2.228, 3.859, 0.000], [2.228, 1.286, 3.638]], "species": ["Os", "Os", "Ca", "Re"], "frac_coords": [[0.250, 0.250, 0.250], [0.750, 0.750, 0.750], [0.500, 0.500, 0.500], [0.000, 0.000, 0.000]], "space_group": "Fm-3m, No. 225"}

---

#2
{"formula": "CaReOs2", "functional": "GGA-PBEsol", "state": "optimized geometry", "lattice_angstrom": [[2.707, -0.001, -0.001], [-1.013, 5.134, -0.018], [-1.013, -2.442, 4.515]], "species": ["Ca", "Os", "Os", "Re"], "frac_coords": [[0.500, 0.500, 0.500], [0.000, 0.500, 0.000], [0.000, 0.000, 0.500], [0.500, 0.000, 0.000]], "space_group": "C2/m, No. 12"}

---

#1 wins, 87 meV per atom ahead of the next structure.

---

#1
{"formula": "Ca2OsRh", "functional": "GGA-PBEsol", "state": "optimized geometry", "lattice_angstrom": [[4.745, 0.000, 0.000], [2.373, 4.110, 0.000], [2.373, 1.370, 3.875]], "species": ["Os", "Rh", "Ca", "Ca"], "frac_coords": [[0.000, 0.000, 0.000], [0.500, 0.500, 0.500], [0.250, 0.250, 0.250], [0.750, 0.750, 0.750]], "space_group": "Fm-3m, No. 225"}

---

#2
{"formula": "Ca2OsRh", "functional": "GGA-PBEsol", "state": "optimized geometry", "lattice_angstrom": [[3.068, 0.000, 0.000], [1.534, 2.657, 0.000], [1.534, 0.886, 8.981]], "species": ["Os", "Rh", "Ca", "Ca"], "frac_coords": [[0.500, 0.500, 0.500], [0.000, 0.000, 0.000], [0.749, 0.749, 0.754], [0.251, 0.251, 0.246]], "space_group": "R-3m, No. 166"}

---

#2 wins, 22 meV per atom ahead of the next structure.